# TaC | OQMD | GGA-PBE | relaxed
# **Total DFT energy (no corrections)**: -11.118 eV per atom
# **Total moment**: 0.00 μB per atom
# **Energy relative to the lowest polymorph listed for this composition**: 0 meV per atom
data_TaC
_symmetry_space_group_name_H-M 'F m -3 m'
_symmetry_Int_Tables_number 225
_symmetry_space_group_name_Hall '-F 4 2 3'
_cell_length_a 4.477
_cell_length_b 4.477
_cell_length_c 4.477
_cell_angle_alpha 90.00
_cell_angle_beta 90.00
_cell_angle_gamma 90.00
loop_
_atom_site_label
_atom_site_type_symbol
_atom_site_fract_x
_atom_site_fract_y
_atom_site_fract_z
_atom_site_occupancy
Ta1 Ta 0.000 0.000 0.000 1
C1 C 0.000 0.000 0.500 1

=====

# TaC | OQMD | GGA-PBE | relaxed
# **Total DFT energy (no corrections)**: -11.012 eV per atom
# **Total moment**: 0.00 μB per atom
# **Energy relative to the lowest polymorph listed for this composition**: 106 meV per atom
data_TaC
_symmetry_space_group_name_H-M 'P 63/m m c'
_symmetry_Int_Tables_number 194
_symmetry_space_group_name_Hall '-P 6c 2c'
_cell_length_a 3.1073
_cell_length_b 3.1073
_cell_length_c 5.3658
_cell_angle_alpha 90.00
_cell_angle_beta 90.00
_cell_angle_gamma 120.00
loop_
_atom_site_label
_atom_site_type_symbol
_atom_site_fract_x
_atom_site_fract_y
_atom_site_fract_z
_atom_site_occupancy
Ta1 Ta 0.3333 0.6667 0.2500 1
C1 C 0.0000 0.0000 0.0000 1